1.
Entry from the Alexandria database: crystalline Ho3SiS2 at its relaxed geometry (PBE).

```
Ho3SiS2
1.0
3.985 0.000 0.000
0.000 5.608 0.000
0.000 0.000 11.893
Ho Si S
6 2 4
direct
0.000 0.000 0.000
0.000 0.000 0.335
0.000 0.000 0.665
0.500 0.500 0.165
0.500 0.500 0.500
0.500 0.500 0.835
0.000 0.500 0.000
0.500 0.000 0.500
0.000 0.500 0.333
0.000 0.500 0.667
0.500 0.000 0.167
0.500 0.000 0.833
```

Summary:
Space group: Immm (71)
Crystal system: orthorhombic
Offset from the most stable computed form (meV per atom): 0
Magnetic moment (μB/cell): 0.0


2.
Entry from the Alexandria database: crystalline EuTl2Ge at its relaxed geometry (PBE).

```
EuTl2Ge
1.0
7.640 0.000 0.000
0.000 7.640 0.000
0.000 0.000 7.640
Eu Tl Ge
4 8 4
direct
0.000 0.000 0.000
0.000 0.500 0.500
0.500 0.000 0.500
0.500 0.500 0.000
0.250 0.250 0.250
0.250 0.250 0.750
0.250 0.750 0.250
0.250 0.750 0.750
0.750 0.250 0.250
0.750 0.250 0.750
0.750 0.750 0.250
0.750 0.750 0.750
0.000 0.000 0.500
0.000 0.500 0.000
0.500 0.000 0.000
0.500 0.500 0.500
```

Summary:
Space group: Fm-3m (225)
Crystal system: cubic
Offset from the most stable computed form (meV per atom): 99
Magnetic moment (μB/cell): 28.1


3.
Entry from the Alexandria database: crystalline NbHRh3 at its relaxed geometry (PBE).

```
NbHRh3
1.0
5.094 0.000 0.000
0.000 7.102 0.000
0.000 0.000 7.386
Nb H Rh
4 4 12
direct
0.000 0.000 0.000
0.000 0.500 0.000
0.500 0.000 0.500
0.500 0.500 0.500
0.184 0.250 0.449
0.316 0.750 0.949
0.684 0.250 0.051
0.816 0.750 0.551
0.029 0.578 0.343
0.029 0.922 0.343
0.228 0.750 0.722
0.272 0.250 0.222
0.471 0.078 0.843
0.471 0.422 0.843
0.529 0.578 0.157
0.529 0.922 0.157
0.728 0.750 0.778
0.772 0.250 0.278
0.971 0.078 0.657
0.971 0.422 0.657
```

Summary:
Space group: Pnma (62)
Crystal system: orthorhombic
Offset from the most stable computed form (meV per atom): 397
Magnetic moment (μB/cell): 0.0


4.
Entry from the Alexandria database: crystalline K2RbCl at its relaxed geometry (PBE).

```
K2RbCl
1.0
4.658 0.000 0.000
-2.329 4.034 0.000
0.000 0.000 35.993
K Rb Cl
6 3 3
direct
0.000 0.000 0.217
0.000 0.000 0.783
0.333 0.667 0.449
0.333 0.667 0.884
0.667 0.333 0.116
0.667 0.333 0.551
0.000 0.000 0.000
0.333 0.667 0.667
0.667 0.333 0.333
0.000 0.000 0.500
0.333 0.667 0.167
0.667 0.333 0.833
```

Summary:
Space group: R-3m (166)
Crystal system: trigonal
Offset from the most stable computed form (meV per atom): 0
Magnetic moment (μB/cell): 0.0


5.
Entry from the Alexandria database: crystalline YSn2O4 at its relaxed geometry (PBE).

```
YSn2O4
1.0
-3.061 3.061 5.333
3.061 -3.061 5.333
3.061 3.061 -5.333
Y Sn O
2 4 8
direct
0.375 0.125 0.250
0.625 0.875 0.750
0.000 0.000 0.500
0.000 0.500 0.000
0.000 0.500 0.500
0.500 0.500 0.000
0.001 0.106 0.251
0.250 0.501 0.396
0.354 0.750 0.249
0.394 0.146 0.896
0.606 0.854 0.104
0.646 0.250 0.751
0.750 0.499 0.604
0.999 0.894 0.749
```

Summary:
Space group: I4_1/a (88)
Crystal system: tetragonal
Offset from the most stable computed form (meV per atom): 0
Magnetic moment (μB/cell): 0.0


6.
Entry from the Alexandria database: crystalline Ca2IrC at its relaxed geometry (PBE).

```
Ca2IrC
1.0
5.126 0.000 0.000
0.000 5.126 0.000
0.000 0.000 3.852
Ca Ir C
2 1 1
direct
0.000 0.500 0.000
0.500 0.000 0.000
0.000 0.000 0.500
0.000 0.000 0.000
```

Summary:
Space group: P4/mmm (123)
Raw total energy (Ry per atom): -0.4222
Crystal system: tetragonal
Magnetic moment (μB/cell): 0.4


7.
Entry from the Alexandria database: crystalline AcCeDy2Tl4 at its relaxed geometry (PBE).

```
AcCeDy2Tl4
1.0
2.768 1.598 9.059
-2.768 1.598 9.059
0.000 -3.196 9.059
Ac Ce Dy Tl
1 1 2 4
direct
0.000 0.000 0.000
0.500 0.500 0.500
0.249 0.249 0.249
0.751 0.751 0.751
0.127 0.127 0.127
0.378 0.378 0.378
0.622 0.622 0.622
0.873 0.873 0.873
```

Summary:
Space group: R-3m (166)
Raw total energy (Ry per atom): -0.2853
Crystal system: trigonal
Magnetic moment (μB/cell): 1.1


8.
Entry from the Alexandria database: crystalline La4PrY7 at its relaxed geometry (PBE).

```
La4PrY7
1.0
6.126 -2.998 0.000
6.126 2.998 0.000
-6.025 0.000 11.625
La Pr Y
4 1 7
direct
0.087 0.087 0.295
0.358 0.358 0.226
0.642 0.642 0.774
0.913 0.913 0.705
0.500 0.500 0.000
0.000 0.000 0.000
0.169 0.169 0.633
0.212 0.212 0.919
0.369 0.369 0.514
0.631 0.631 0.486
0.788 0.788 0.081
0.831 0.831 0.367
```

Summary:
Space group: C2/m (12)
Crystal system: monoclinic
Offset from the most stable computed form (meV per atom): 172
Magnetic moment (μB/cell): 0.0


9.
Entry from the Alexandria database: crystalline BaLaRe2 at its relaxed geometry (PBE).

```
BaLaRe2
1.0
3.377 0.000 0.000
0.000 5.084 0.000
0.000 0.000 5.159
Ba La Re
1 1 2
direct
0.000 0.000 0.000
0.500 0.500 0.000
0.000 0.500 0.500
0.500 0.000 0.500
```

Summary:
Space group: Pmmm (47)
Crystal system: orthorhombic
Offset from the most stable computed form (meV per atom): 1055
Magnetic moment (μB/cell): 0.0


10.
Entry from the Alexandria database: crystalline La2P2Os at its relaxed geometry (PBE).

```
La2P2Os
1.0
3.548 0.000 0.000
0.000 3.548 0.000
0.000 0.000 17.404
La P Os
4 4 2
direct
0.000 0.000 0.103
0.000 0.000 0.897
0.500 0.500 0.397
0.500 0.500 0.603
0.000 0.500 0.250
0.000 0.500 0.750
0.500 0.000 0.250
0.500 0.000 0.750
0.000 0.000 0.500
0.500 0.500 0.000
```

Summary:
Space group: I4/mmm (139)
Crystal system: tetragonal
Offset from the most stable computed form (meV per atom): 506
Magnetic moment (μB/cell): 0.0


11.
Entry from the Alexandria database: crystalline NiMo2Os at its relaxed geometry (PBE).

```
NiMo2Os
1.0
3.216 0.000 0.000
0.000 3.216 0.000
0.000 0.000 5.571
Ni Mo Os
1 2 1
direct
0.000 0.000 0.000
0.500 0.500 0.222
0.500 0.500 0.778
0.000 0.000 0.500
```

Summary:
Space group: P4/mmm (123)
Crystal system: tetragonal
Offset from the most stable computed form (meV per atom): 186
Magnetic moment (μB/cell): 0.0


12.
Entry from the Alexandria database: crystalline Y4HoEr8 at its relaxed geometry (PBE).

```
Y4HoEr8
1.0
3.641 2.102 8.955
-3.641 2.102 8.955
0.000 -4.204 8.955
Y Ho Er
4 1 8
direct
0.000 0.000 0.000
0.000 0.500 0.500
0.500 0.000 0.500
0.500 0.500 0.000
0.500 0.500 0.500
0.193 0.750 0.750
0.217 0.217 0.217
0.250 0.250 0.807
0.250 0.807 0.250
0.750 0.193 0.750
0.750 0.750 0.193
0.783 0.783 0.783
0.807 0.250 0.250
```

Summary:
Space group: R-3m (166)
Raw total energy (Ry per atom): -0.3619
Crystal system: trigonal
Magnetic moment (μB/cell): 0.0


13.
Entry from the Alexandria database: crystalline PIN2F at its relaxed geometry (PBE).

```
PIN2F
1.0
4.174 0.000 0.000
0.000 4.174 0.000
0.000 0.000 4.281
P I N F
1 1 2 1
direct
0.000 0.000 0.000
0.500 0.500 0.500
0.000 0.500 0.500
0.500 0.000 0.500
0.500 0.500 0.000
```

Summary:
Space group: P4/mmm (123)
Crystal system: tetragonal
Offset from the most stable computed form (meV per atom): 1085
Magnetic moment (μB/cell): 0.0


It is found that the calculated density values, taken in the order of the records, are 7334 9434 10008 1467 6483 4666 10428 5129 12161 8034 12703 7505 4561 kg/m3.